# ScTcW2

ScTcW2 after structural relaxation (PBE, Alexandria).

Cell: 3.116 3.116 6.924 Å, 90.00 90.00 90.00°
Element x y z (fractional)
W1 0.000 0.000 0.525
W2 0.000 0.000 0.975
Sc1 0.500 0.500 0.250
Tc1 0.500 0.500 0.750

Results
- polymorph energy (0 for the lowest one) (meV/atom) = 228
- energy of formation from the pure elements (eV per formula unit) = 0.6
- density of states at the Fermi level (states/eV/atom) = 0.82
- symmetry = P4/mmm, No. 123
- electronic total energy (eV for the cell shown) = -42.00

---

# YSc2Tc

YSc2Tc after structural relaxation (PBE, Alexandria).

Cell: 9.975 9.975 9.975 Å, 18.95 18.95 18.95°
Element x y z (fractional)
Y1 0.750 0.750 0.750
Sc1 0.982 0.982 0.982
Sc2 0.518 0.518 0.518
Tc1 0.250 0.250 0.250

Results
- polymorph energy (0 for the lowest one) (meV/atom) = 209
- energy of formation from the pure elements (eV per formula unit) = 0.2
- density of states at the Fermi level (states/eV/atom) = 1.02
- symmetry = R-3m, No. 166
- electronic total energy (eV for the cell shown) = -29.28

---

# YScTc

YScTc after structural relaxation (PBE, Alexandria).

Cell: 6.336 6.886 7.444 Å, 90.00 90.00 117.39°
Element x y z (fractional)
Y1 0.691 0.382 0.889
Y2 0.809 0.618 0.389
Y3 0.191 0.382 0.611
Y4 0.309 0.618 0.111
Tc1 0.597 0.195 0.531
Tc2 0.403 0.805 0.469
Tc3 0.903 0.805 0.031
Tc4 0.097 0.195 0.969
Sc1 0.202 0.903 0.750
Sc2 0.798 0.097 0.250
Sc3 0.298 0.097 0.250
Sc4 0.702 0.903 0.750

Results
- polymorph energy (0 for the lowest one) (meV/atom) = 90
- energy of formation from the pure elements (eV per formula unit) = 0.0
- density of states at the Fermi level (states/eV/atom) = 1.06
- symmetry = Cmce, No. 64
- electronic total energy (eV for the cell shown) = -92.62

---

# Y2Sc3Tc2

Y2Sc3Tc2 after structural relaxation (PBE, Alexandria).

Cell: 4.061 5.758 7.971 Å, 100.72 104.76 110.65°
Element x y z (fractional)
Y1 0.647 0.493 0.801
Y2 0.353 0.507 0.199
Tc1 0.940 0.091 0.789
Tc2 0.060 0.909 0.211
Sc1 0.797 0.165 0.428
Sc2 0.500 0.000 0.000
Sc3 0.203 0.835 0.572

Results
- energy of formation from the pure elements (eV per formula unit) = -1.0
- density of states at the Fermi level (states/eV/atom) = 0.69
- symmetry = C2/m, No. 12
- electronic total energy (eV for the cell shown) = -53.70

---

# YSc2Tc

YSc2Tc after structural relaxation (PBE, Alexandria).

Cell: 4.410 3.318 6.234 Å, 75.62 90.00 90.00°
Element x y z (fractional)
Sc1 0.000 0.078 0.041
Sc2 0.000 0.422 0.459
Tc1 0.500 0.250 0.250
Y1 0.500 0.750 0.750

Results
- polymorph energy (0 for the lowest one) (meV/atom) = 187
- energy of formation from the pure elements (eV per formula unit) = 0.1
- density of states at the Fermi level (states/eV/atom) = 1.26
- symmetry = P2/m, No. 10
- electronic total energy (eV for the cell shown) = -29.37

---

# YScTc

YScTc after structural relaxation (PBE, Alexandria).

Cell: 4.662 4.662 4.662 Å, 60.00 60.00 60.00°
Element x y z (fractional)
Sc1 0.500 0.500 0.500
Tc1 0.750 0.750 0.750
Y1 0.000 0.000 0.000

Results
- polymorph energy (0 for the lowest one) (meV/atom) = 264
- energy of formation from the pure elements (eV per formula unit) = 0.5
- density of states at the Fermi level (states/eV/atom) = 0.97
- symmetry = F-43m, No. 216
- electronic total energy (eV for the cell shown) = -22.63

---

# Y2ScTc2

Y2ScTc2 after structural relaxation (PBE, Alexandria).

Cell: 8.272 8.272 3.180 Å, 90.00 90.00 90.00°
Element x y z (fractional)
Tc1 0.677 0.823 0.500
Tc2 0.823 0.323 0.500
Tc3 0.177 0.677 0.500
Tc4 0.323 0.177 0.500
Y1 0.368 0.868 0.000
Y2 0.132 0.368 0.000
Y3 0.868 0.632 0.000
Y4 0.632 0.132 0.000
Sc1 0.000 0.000 0.000
Sc2 0.500 0.500 0.000

Results
- polymorph energy (0 for the lowest one) (meV/atom) = 360
- energy of formation from the pure elements (eV per formula unit) = 1.9
- density of states at the Fermi level (states/eV/atom) = 1.11
- symmetry = P4/mbm, No. 127
- electronic total energy (eV for the cell shown) = -76.11

---

# YScTc

YScTc after structural relaxation (PBE, Alexandria).

Cell: 6.279 6.278 3.411 Å, 74.25 74.22 31.53°
Element x y z (fractional)
Y1 0.305 0.305 0.695
Sc1 0.037 0.037 0.963
Tc1 0.657 0.657 0.343

Results
- polymorph energy (0 for the lowest one) (meV/atom) = 0
- energy of formation from the pure elements (eV per formula unit) = -0.3
- density of states at the Fermi level (states/eV/atom) = 1.48
- symmetry = I4mm, No. 107
- electronic total energy (eV for the cell shown) = -23.43

---

# YSc2Tc

YSc2Tc after structural relaxation (PBE, Alexandria).

Cell: 8.063 8.063 6.434 Å, 51.20 51.20 90.00°
Element x y z (fractional)
Sc1 0.375 0.301 0.750
Sc2 0.875 0.949 0.750
Sc3 0.051 0.625 0.250
Sc4 0.699 0.125 0.250
Tc1 0.750 0.250 0.500
Tc2 0.000 0.000 0.000
Y1 0.250 0.750 0.500
Y2 0.500 0.500 0.000

Results
- polymorph energy (0 for the lowest one) (meV/atom) = 397
- energy of formation from the pure elements (eV per formula unit) = 1.0
- density of states at the Fermi level (states/eV/atom) = 1.10
- symmetry = I-42d, No. 122
- electronic total energy (eV for the cell shown) = -57.06

---

# Y2Sc2Tc

Y2Sc2Tc after structural relaxation (PBE, Alexandria).

Cell: 6.480 6.802 6.820 Å, 104.84 90.00 118.45°
Element x y z (fractional)
Sc1 0.207 0.218 0.980
Sc2 0.989 0.782 0.520
Sc3 0.011 0.218 0.480
Sc4 0.793 0.782 0.020
Y1 0.556 0.294 0.615
Y2 0.262 0.706 0.885
Y3 0.444 0.706 0.385
Y4 0.738 0.294 0.115
Tc1 0.766 0.000 0.750
Tc2 0.234 0.000 0.250

Results
- polymorph energy (0 for the lowest one) (meV/atom) = 0
- energy of formation from the pure elements (eV per formula unit) = -0.3
- density of states at the Fermi level (states/eV/atom) = 0.99
- symmetry = C2/c, No. 15
- electronic total energy (eV for the cell shown) = -72.45

---

# YScTc4

YScTc4 after structural relaxation (PBE, Alexandria).

Cell: 5.337 5.337 5.337 Å, 60.00 60.00 60.00°
Element x y z (fractional)
Tc1 0.625 0.625 0.124
Tc2 0.625 0.124 0.625
Tc3 0.625 0.625 0.625
Tc4 0.124 0.625 0.625
Y1 0.250 0.250 0.250
Sc1 0.000 0.000 0.000

Results
- energy of formation from the pure elements (eV per formula unit) = -1.1
- density of states at the Fermi level (states/eV/atom) = 1.17
- symmetry = F-43m, No. 216
- electronic total energy (eV for the cell shown) = -55.37

---

# YSc2Tc

YSc2Tc after structural relaxation (PBE, Alexandria).

Cell: 5.953 5.953 5.953 Å, 146.27 128.52 62.97°
Element x y z (fractional)
Sc1 0.952 0.952 0.000
Sc2 0.548 0.548 0.000
Tc1 0.750 0.250 0.500
Y1 0.250 0.750 0.500

Results
- polymorph energy (0 for the lowest one) (meV/atom) = 70
- energy of formation from the pure elements (eV per formula unit) = -0.3
- density of states at the Fermi level (states/eV/atom) = 1.14
- symmetry = Immm, No. 71
- electronic total energy (eV for the cell shown) = -29.84

---

# YSc2Tc

YSc2Tc after structural relaxation (PBE, Alexandria).

Cell: 10.541 10.541 10.541 Å, 17.78 17.78 17.78°
Element x y z (fractional)
Y1 0.000 0.000 0.000
Sc1 0.895 0.895 0.895
Sc2 0.105 0.105 0.105
Tc1 0.500 0.500 0.500

Results
- polymorph energy (0 for the lowest one) (meV/atom) = 306
- energy of formation from the pure elements (eV per formula unit) = 0.6
- density of states at the Fermi level (states/eV/atom) = 2.10
- symmetry = R-3m, No. 166
- electronic total energy (eV for the cell shown) = -28.89

---

# YSc2Tc

YSc2Tc after structural relaxation (PBE, Alexandria).

Cell: 4.951 4.951 4.951 Å, 120.16 120.16 89.72°
Element x y z (fractional)
Tc1 0.500 0.500 0.000
Sc1 0.250 0.750 0.500
Sc2 0.000 0.000 0.000
Y1 0.750 0.250 0.500

Results
- polymorph energy (0 for the lowest one) (meV/atom) = 234
- energy of formation from the pure elements (eV per formula unit) = 0.3
- density of states at the Fermi level (states/eV/atom) = 1.35
- symmetry = I-4m2, No. 119
- electronic total energy (eV for the cell shown) = -29.18

---

# YSc2Tc

YSc2Tc after structural relaxation (PBE, Alexandria).

Cell: 5.952 5.952 5.952 Å, 145.83 130.02 61.93°
Element x y z (fractional)
Tc1 0.510 0.510 0.000
Sc1 0.999 0.999 0.000
Sc2 0.700 0.200 0.500
Y1 0.290 0.790 0.500

Results
- polymorph energy (0 for the lowest one) (meV/atom) = 129
- energy of formation from the pure elements (eV per formula unit) = -0.1
- density of states at the Fermi level (states/eV/atom) = 1.38
- symmetry = Imm2, No. 44
- electronic total energy (eV for the cell shown) = -29.60

---

# YSc2Tc

YSc2Tc after structural relaxation (PBE, Alexandria).

Cell: 3.521 3.521 7.365 Å, 90.00 90.00 90.00°
Element x y z (fractional)
Y1 0.500 0.500 0.705
Sc1 0.000 0.000 0.046
Sc2 0.500 0.500 0.294
Tc1 0.000 0.000 0.456

Results
- polymorph energy (0 for the lowest one) (meV/atom) = 129
- energy of formation from the pure elements (eV per formula unit) = -0.1
- density of states at the Fermi level (states/eV/atom) = 1.04
- symmetry = P4mm, No. 99
- electronic total energy (eV for the cell shown) = -29.60

---

# YSc2Tc

YSc2Tc after structural relaxation (PBE, Alexandria).

Cell: 5.861 5.861 3.148 Å, 77.32 77.32 118.41°
Element x y z (fractional)
Sc1 0.500 0.500 0.000
Sc2 0.000 0.000 0.000
Tc1 0.500 0.000 0.500
Y1 0.000 0.500 0.500

Results
- polymorph energy (0 for the lowest one) (meV/atom) = 369
- energy of formation from the pure elements (eV per formula unit) = 0.8
- density of states at the Fermi level (states/eV/atom) = 1.06
- symmetry = C2/m, No. 12
- electronic total energy (eV for the cell shown) = -28.64

---

# YScTc

YScTc after structural relaxation (PBE, Alexandria).

Cell: 4.668 4.668 4.668 Å, 60.00 60.00 60.00°
Element x y z (fractional)
Sc1 0.000 0.000 0.000
Y1 0.750 0.750 0.750
Tc1 0.500 0.500 0.500

Results
- polymorph energy (0 for the lowest one) (meV/atom) = 1107
- energy of formation from the pure elements (eV per formula unit) = 3.1
- density of states at the Fermi level (states/eV/atom) = 1.22
- symmetry = F-43m, No. 216
- electronic total energy (eV for the cell shown) = -20.10

---

# Y2ScTc2

Y2ScTc2 after structural relaxation (PBE, Alexandria).

Cell: 3.508 3.508 10.528 Å, 80.41 80.41 90.00°
Element x y z (fractional)
Y1 0.624 0.624 0.751
Y2 0.376 0.376 0.249
Tc1 0.750 0.250 0.500
Tc2 0.250 0.750 0.500
Sc1 0.000 0.000 0.000

Results
- polymorph energy (0 for the lowest one) (meV/atom) = 255
- energy of formation from the pure elements (eV per formula unit) = 1.4
- density of states at the Fermi level (states/eV/atom) = 1.53
- symmetry = I4/mmm, No. 139
- electronic total energy (eV for the cell shown) = -38.58

---

# YSc2Tc

YSc2Tc after structural relaxation (PBE, Alexandria).

Cell: 4.930 4.930 4.930 Å, 60.00 60.00 60.00°
Element x y z (fractional)
Sc1 0.250 0.250 0.250
Sc2 0.750 0.750 0.750
Tc1 0.500 0.500 0.500
Y1 0.000 0.000 0.000

Results
- polymorph energy (0 for the lowest one) (meV/atom) = 248
- energy of formation from the pure elements (eV per formula unit) = 0.4
- density of states at the Fermi level (states/eV/atom) = 1.28
- symmetry = Fm-3m, No. 225
- electronic total energy (eV for the cell shown) = -29.13